[1]
First-principles (GGA-PBE) data for a relaxed Sr2NiHg crystal, as listed in the Alexandria database.

Output
Energy relative to the elements ... -0.078 eV/atom

a = 4.255 Å, b = 4.255 Å, c = 8.604 Å
α = 75.67°, β = 75.67°, γ = 60.02°
Element x y z (fractional)
Ni  0.250  0.250  0.250
Sr  0.985  0.985  0.045
Hg  0.750  0.750  0.750
Sr  0.515  0.515  0.455

[2]
First-principles (GGA-PBE) data for a relaxed Ti2BH2 crystal, as listed in the Alexandria database.

Output
Relative energy among the computed polymorphs ... 0.5360 eV per atom

a = 5.955 Å, b = 5.955 Å, c = 2.645 Å
α = 90.00°, β = 90.00°, γ = 90.00°
Element x y z (fractional)
H  0.879  0.379  0.500
Ti  0.672  0.172  0.000
H  0.121  0.621  0.500
Ti  0.328  0.828  0.000
B  0.500  0.500  0.000
B  0.000  0.000  0.000
Ti  0.828  0.672  0.000
Ti  0.172  0.328  0.000
H  0.379  0.121  0.500
H  0.621  0.879  0.500

[3]
First-principles (GGA-PBE) data for a relaxed Ni3As2 crystal, as listed in the Alexandria database.

Output
Energy relative to the elements ... -0.140 eV/atom

a = 6.101 Å, b = 6.101 Å, c = 5.674 Å
α = 57.48°, β = 57.48°, γ = 60.00°
Element x y z (fractional)
Ni  0.999  0.750  0.750
As  0.389  0.389  0.832
Ni  0.001  0.250  0.250
Ni  0.499  0.001  0.250
Ni  0.501  0.999  0.750
Ni  0.750  0.501  0.750
As  0.611  0.611  0.168
Ni  0.250  0.499  0.250
As  0.889  0.889  0.332
As  0.111  0.111  0.668

The records above yield DFT total energy values of -9.76; -56.59; -54.69 eV/cell, respectively.